1.
A plane-wave DFT calculation with GGA-PBE was carried out for a relaxed structure of NaNd2NpS6.

Geometry as POSCAR:
```
NaNd2NpS6
1.0
-5.225 2.167 -3.625
0.573 -5.889 -4.348
-6.748 -4.752 5.548
S Nd Np Na
12 4 2 2
Direct
0.310 0.678 0.060
0.841 0.567 0.239
0.667 0.298 0.589
0.341 0.933 0.739
0.159 0.433 0.761
0.810 0.822 0.560
0.690 0.322 0.940
0.833 0.798 0.911
0.190 0.178 0.440
0.333 0.702 0.411
0.167 0.202 0.089
0.659 0.067 0.261
0.044 0.906 0.263
0.544 0.594 0.763
0.456 0.406 0.237
0.956 0.094 0.737
0.000 0.500 0.000
0.500 0.000 0.500
0.000 0.500 0.500
0.500 0.000 0.000
```

- energy relative to the elements, uncorrected (eV/atom) = -1.58

=====

2.
A plane-wave DFT calculation with GGA-PBE was carried out for a relaxed structure of NbAl2V2.

Geometry as POSCAR:
```
NbAl2V2
1.0
5.064 -1.112 0.497
1.540 4.584 1.240
3.339 0.789 6.849
V Al Nb
4 4 2
Direct
0.833 0.276 0.554
0.333 0.776 0.054
0.167 0.724 0.446
0.667 0.224 0.946
0.433 0.250 0.341
0.567 0.750 0.659
0.067 0.250 0.159
0.933 0.750 0.841
0.250 0.250 0.750
0.750 0.750 0.250
```

- calculated formation energy (eV per atom) = -0.21
- E above lowest polymorph (kJ/mol of formula units) = 0.0

=====

3.
A plane-wave DFT calculation with GGA-PBE was carried out for a relaxed structure of Pr6HoTm3.

Geometry as POSCAR:
```
Pr6HoTm3
1.0
-4.449 0.226 -4.669
-1.554 -11.676 0.917
-5.367 8.945 5.547
Pr Tm Ho
12 6 2
Direct
0.309 0.984 0.016
0.320 0.455 0.894
0.072 0.380 0.260
0.809 0.016 0.984
0.300 0.700 0.300
0.820 0.545 0.106
0.800 0.300 0.700
0.320 0.106 0.545
0.072 0.740 0.620
0.572 0.260 0.380
0.572 0.620 0.740
0.820 0.894 0.455
0.591 0.580 0.420
0.493 0.957 0.708
0.993 0.708 0.957
0.493 0.292 0.043
0.993 0.043 0.292
0.091 0.420 0.580
0.517 0.843 0.157
0.017 0.157 0.843
```

- calculated formation energy (eV per atom) = 0.13

=====

Number 1: density 5.0 g cm⁻³, electronic total energy -6.43 eV/atom, total magnetic moment 4.00 μB/cell. Number 2: density 5.4 g cm⁻³, electronic total energy -7.37 eV/atom, total magnetic moment 0.00 μB/cell. Number 3: density 7.4 g cm⁻³, electronic total energy -4.54 eV/atom, total magnetic moment 0.00 μB/cell.